Entry 1:
# NaYSn

An optimized crystal structure of NaYSn (PBE, Alexandria).

Cell and atoms, written as CIF:
```
data_NaYSn
_cell_length_a 6.546
_cell_length_b 9.309
_cell_length_c 5.280
_cell_angle_alpha 90.00
_cell_angle_beta 90.00
_cell_angle_gamma 90.00
_space_group_name_H-M_alt 'I m a 2'
_space_group_IT_number 46
loop_
_space_group_symop_operation_xyz
'x,y,z'
'-x,-y,z'
'-x+1/2,y,z'
'x+1/2,-y,z'
'x+1/2,y+1/2,z+1/2'
'-x+1/2,-y+1/2,z+1/2'
'-x,y+1/2,z+1/2'
'x,-y+1/2,z+1/2'
loop_
_atom_site_label
_atom_site_type_symbol
_atom_site_fract_x
_atom_site_fract_y
_atom_site_fract_z
Na1 Na 0.250 0.249 0.000
Y1 Y 0.250 0.614 0.747
Sn1 Sn 0.000 0.000 0.747
```

Summary:
Formation energy from the elements, meV per atom: -243
ΔE to the lowest computed polymorph, meV/atom: 256
Total moment, μB/f.u.: 0.0
Calculated volume, Å³ per cell: 322
Fermi-level density of states, states/eV/cell: 8.1

Entry 2:
# NaYSn

An optimized crystal structure of NaYSn (PBE, Alexandria).

Cell and atoms, written as CIF:
```
data_NaYSn
_cell_length_a 3.466
_cell_length_b 3.466
_cell_length_c 14.715
_cell_angle_alpha 90.00
_cell_angle_beta 90.00
_cell_angle_gamma 90.00
_space_group_name_H-M_alt 'I 4 m m'
_space_group_IT_number 107
_space_group_name_Hall 'I 4 -2'
loop_
_atom_site_label
_atom_site_type_symbol
_atom_site_fract_x
_atom_site_fract_y
_atom_site_fract_z
Na1 Na 0.000 0.000 0.000
Y1 Y 0.000 0.000 0.704
Sn1 Sn 0.000 0.000 0.346
```

Summary:
Formation energy from the elements, meV per atom: -203
ΔE to the lowest computed polymorph, meV/atom: 296
Total moment, μB/f.u.: 0.0
Calculated volume, Å³ per cell: 177
Fermi-level density of states, states/eV/cell: 2.6

E (computed, eV per atom): -4.171 -4.131